(1)
VASP calculation (PBE) on an optimized crystal structure of NaEuInRh.

Crystal system ... cubic
SG ... No. 216
DFT formation energy ... -0.2094 eV per atom

Lattice parameters (Å, degrees): 5.0003 5.0003 5.0003 60.00 60.00 60.00
Sites, in units of the cell vectors:
Na  0.0000  0.0000  0.0000
Eu  0.7500  0.7500  0.7500
In  0.2500  0.2500  0.2500
Rh  0.5000  0.5000  0.5000


(2)
VASP calculation (PBE) on an optimized crystal structure of NaSmEuIn.

Crystal system ... cubic
SG ... No. 216
DFT formation energy ... -0.1456 eV per atom

Lattice parameters (Å, degrees): 5.5986 5.5986 5.5986 60.00 60.00 60.00
Sites, in units of the cell vectors:
Na  0.0000  0.0000  0.0000
Sm  0.7500  0.7500  0.7500
Eu  0.2500  0.2500  0.2500
In  0.5000  0.5000  0.5000


Which value of DFT formation energy does entry 1 give? -0.2094 eV per atom